Record 1
! La3Zn | Alexandria via LeMat-Bulk | PBEsol | relaxed; values from VASP
! SG ... Immm, No. 71
! DOS(E_F) ... 4.7 states/eV/f.u.
! Raw total energy ... -4.517 eV/atom
! Total magnetization ... 0.00 μB per cell
! Crystal system ... orthorhombic
&SYSTEM
  ibrav = 0, nat = 4, ntyp = 2
/
ATOMIC_SPECIES
La 138.91 La.upf
Zn 65.41 Zn.upf
ATOMIC_POSITIONS crystal
La 0.7140 0.7140 0.4281
Zn 0.0000 0.5000 0.0000
La 0.2860 0.2860 0.5719
La 0.5000 0.0000 0.0000
CELL_PARAMETERS angstrom
3.7640 0.0000 0.0000
0.0000 5.4762 0.0000
-1.8820 -2.7381 5.7734

=====

Record 2
! LaZn | Alexandria via LeMat-Bulk | PBEsol | relaxed; values from VASP
! SG ... P6_3/mmc, No. 194
! DOS(E_F) ... 1.0 states/eV/f.u.
! Raw total energy ... -3.705 eV/atom
! Total magnetization ... 0.00 μB per cell
! Crystal system ... hexagonal
&SYSTEM
  ibrav = 0, nat = 8, ntyp = 2
/
ATOMIC_SPECIES
La 138.91 La.upf
Zn 65.41 Zn.upf
ATOMIC_POSITIONS crystal
La 0.6667 0.3333 0.0767
Zn 0.0000 0.0000 0.2500
La 0.3333 0.6667 0.9233
La 0.6667 0.3333 0.4233
Zn 0.0000 0.0000 0.7500
Zn 0.3333 0.6667 0.2500
La 0.3333 0.6667 0.5767
Zn 0.6667 0.3333 0.7500
CELL_PARAMETERS angstrom
-3.2651 -1.5604 2.6554
3.5537 -2.5765 -0.9380
4.9921 3.8309 8.3897

=====

Record 3
! LaZn | Alexandria via LeMat-Bulk | PBEsol | relaxed; values from VASP
! SG ... R-3m, No. 166
! DOS(E_F) ... 1.3 states/eV/f.u.
! Raw total energy ... -3.686 eV/atom
! Total magnetization ... 0.00 μB per cell
! Crystal system ... trigonal
&SYSTEM
  ibrav = 0, nat = 4, ntyp = 2
/
ATOMIC_SPECIES
Zn 65.41 Zn.upf
La 138.91 La.upf
ATOMIC_POSITIONS crystal
Zn 0.3322 0.3322 0.0034
Zn 0.6678 0.6678 0.9966
La 0.1153 0.1153 0.6541
La 0.8847 0.8847 0.3459
CELL_PARAMETERS angstrom
4.4787 0.0000 0.0000
2.2393 3.8786 0.0000
2.2393 1.2929 5.2700

=====

Record 4
! La3Zn22 | Alexandria via LeMat-Bulk | PBEsol | relaxed; values from VASP
! SG ... I4_1/amd, No. 141
! DOS(E_F) ... 8.6 states/eV/f.u.
! Raw total energy ... -2.324 eV/atom
! Total magnetization ... 0.00 μB per cell
! Crystal system ... tetragonal
&SYSTEM
  ibrav = 0, nat = 50, ntyp = 2
/
ATOMIC_SPECIES
Zn 65.41 Zn.upf
La 138.91 La.upf
ATOMIC_POSITIONS crystal
Zn 0.9773 0.2519 0.5038
Zn 0.1250 0.8750 0.7500
Zn 0.2615 0.6110 0.2221
Zn 0.7481 0.0227 0.4962
Zn 0.3890 0.7385 0.7779
Zn 0.8610 0.0115 0.7221
Zn 0.7045 0.1932 0.8727
Zn 0.3445 0.9909 0.9817
La 0.6283 0.1283 0.2566
Zn 0.1682 0.1932 0.8727
Zn 0.6372 0.9909 0.9817
Zn 0.1250 0.3750 0.2500
Zn 0.6250 0.8750 0.7500
Zn 0.5019 0.2765 0.0038
La 0.8717 0.3717 0.7434
Zn 0.9295 0.4545 0.3727
Zn 0.2409 0.0945 0.4817
Zn 0.8610 0.7105 0.7221
Zn 0.7045 0.6795 0.8727
Zn 0.0091 0.6555 0.0183
Zn 0.5455 0.5568 0.6273
Zn 0.9885 0.1390 0.2779
Zn 0.1682 0.6795 0.8727
Zn 0.3890 0.0395 0.7779
Zn 0.5455 0.0705 0.6273
Zn 0.5019 0.7273 0.0038
Zn 0.2409 0.3872 0.4817
Zn 0.3205 0.2955 0.1273
Zn 0.7235 0.4981 0.9962
La 0.2500 0.7500 0.5000
Zn 0.9055 0.7591 0.5183
Zn 0.0818 0.5568 0.6273
Zn 0.2895 0.1390 0.2779
Zn 0.0091 0.3628 0.0183
Zn 0.1250 0.8750 0.2500
Zn 0.4432 0.4545 0.3727
Zn 0.4432 0.9182 0.3727
Zn 0.5265 0.2519 0.5038
Zn 0.2727 0.4981 0.9962
Zn 0.8068 0.2955 0.1273
Zn 0.8068 0.8318 0.1273
La 0.0000 0.0000 0.0000
Zn 0.3205 0.8318 0.1273
Zn 0.9295 0.9182 0.3727
Zn 0.6128 0.7591 0.5183
Zn 0.0818 0.0705 0.6273
Zn 0.7481 0.4735 0.4962
Zn 0.9605 0.6110 0.2221
La 0.6217 0.6217 0.2434
La 0.3783 0.3783 0.7566
CELL_PARAMETERS angstrom
-3.0818 0.1375 8.2363
7.9753 -2.1510 3.0201
0.0184 11.2028 -4.8760

=====

Record 5
! La3Zn | Alexandria via LeMat-Bulk | PBEsol | relaxed; values from VASP
! SG ... P4/mmm, No. 123
! DOS(E_F) ... 5.1 states/eV/f.u.
! Raw total energy ... -4.546 eV/atom
! Total magnetization ... 0.00 μB per cell
! Crystal system ... tetragonal
&SYSTEM
  ibrav = 0, nat = 4, ntyp = 2
/
ATOMIC_SPECIES
La 138.91 La.upf
Zn 65.41 Zn.upf
ATOMIC_POSITIONS crystal
La 0.0000 0.0000 0.2087
La 0.0000 0.0000 0.7913
Zn 0.5000 0.5000 0.0000
La 0.5000 0.5000 0.5000
CELL_PARAMETERS angstrom
-0.9445 2.9094 -2.1040
-3.1045 -1.7547 -1.0328
-4.1505 3.4437 6.6251

=====

Record 6
! La2Zn | Alexandria via LeMat-Bulk | PBEsol | relaxed; values from VASP
! SG ... C2/m, No. 12
! DOS(E_F) ... 3.1 states/eV/f.u.
! Raw total energy ... -4.246 eV/atom
! Total magnetization ... 0.00 μB per cell
! Crystal system ... monoclinic
&SYSTEM
  ibrav = 0, nat = 6, ntyp = 2
/
ATOMIC_SPECIES
La 138.91 La.upf
Zn 65.41 Zn.upf
ATOMIC_POSITIONS crystal
La 0.0882 0.1694 0.6542
La 0.9118 0.8306 0.3458
Zn 0.3773 0.5940 0.6515
Zn 0.6227 0.4060 0.3485
La 0.6586 0.7372 0.9455
La 0.3414 0.2628 0.0545
CELL_PARAMETERS angstrom
-3.0136 -0.4561 1.9919
1.8226 -2.6021 5.4895
0.0421 6.2352 4.8193

=====

Record 7
! La2Zn | Alexandria via LeMat-Bulk | PBEsol | relaxed; values from VASP
! SG ... I4/mcm, No. 140
! DOS(E_F) ... 3.3 states/eV/f.u.
! Raw total energy ... -4.250 eV/atom
! Total magnetization ... 0.00 μB per cell
! Crystal system ... tetragonal
&SYSTEM
  ibrav = 0, nat = 6, ntyp = 2
/
ATOMIC_SPECIES
Zn 65.41 Zn.upf
La 138.91 La.upf
ATOMIC_POSITIONS crystal
Zn 0.7500 0.0000 0.0000
Zn 0.2500 0.0000 0.0000
La 0.3458 0.5000 0.8084
La 0.1542 0.1916 0.5000
La 0.8458 0.8084 0.5000
La 0.6542 0.5000 0.1916
CELL_PARAMETERS angstrom
-1.7069 4.7140 -0.0929
-5.5759 0.6996 2.6207
1.6232 3.3523 4.9573

=====

Record 8
! LaZn2 | Alexandria via LeMat-Bulk | PBEsol | relaxed; values from VASP
! SG ... Imma, No. 74
! DOS(E_F) ... 2.7 states/eV/f.u.
! Raw total energy ... -3.192 eV/atom
! Total magnetization ... 0.00 μB per cell
! Crystal system ... orthorhombic
&SYSTEM
  ibrav = 0, nat = 6, ntyp = 2
/
ATOMIC_SPECIES
La 138.91 La.upf
Zn 65.41 Zn.upf
ATOMIC_POSITIONS crystal
La 0.4480 0.8020 0.3020
Zn 0.1627 0.4053 0.2693
Zn 0.8373 0.5947 0.7307
Zn 0.8373 0.2307 0.0947
Zn 0.1627 0.7693 0.9053
La 0.5520 0.1980 0.6980
CELL_PARAMETERS angstrom
-3.5357 1.6033 2.4931
-5.1172 -1.7562 -1.8586
-1.3427 -3.2917 4.4818